(1)
The following is a DFT calculation (PBE) of a relaxed PmNd2FeN4 crystal.

abc: 3.479 6.200 12.048
angles: 90.00 90.00 106.30
Sites, in units of the cell vectors:
Nd 0.368 0.735 0.956
Nd 0.632 0.265 0.456
Nd 0.632 0.265 0.044
Nd 0.368 0.735 0.544
N 0.729 0.458 0.637
N 0.000 0.000 0.500
N 0.399 0.799 0.750
N 0.601 0.201 0.250
N 0.271 0.542 0.363
N 0.729 0.458 0.863
N 0.000 0.000 0.000
N 0.271 0.542 0.137
Fe 0.159 0.318 0.250
Fe 0.841 0.682 0.750
Pm 0.873 0.745 0.250
Pm 0.127 0.255 0.750

Properties
DOS at the Fermi energy, states/eV/atom: 0.39
Uncorrected formation energy, eV per formula unit: -7.2

(2)
The following is a DFT calculation (PBE) of a relaxed ScAg3Sn crystal.

abc: 5.157 5.157 5.157
angles: 90.00 90.00 90.00
Sites, in units of the cell vectors:
Sn 0.500 0.500 0.500
Ag 0.500 0.000 0.000
Ag 0.000 0.000 0.500
Ag 0.000 0.500 0.000
Sc 0.000 0.000 0.000

Properties
DOS at the Fermi energy, states/eV/atom: 0.89
ΔH_f (0 K), eV/atom: 0.78
Distance to the lowest polymorph of the same formula, meV/atom: 857

(3)
The following is a DFT calculation (PBE) of a relaxed Pa2ZnGe4Rh3 crystal.

abc: 4.172 4.172 10.305
angles: 90.00 90.00 90.00
Sites, in units of the cell vectors:
Ge 0.500 0.000 0.638
Ge 0.000 0.000 0.000
Ge 0.500 0.500 0.000
Ge 0.000 0.500 0.362
Rh 0.500 0.000 0.870
Rh 0.000 0.000 0.500
Rh 0.000 0.500 0.130
Zn 0.500 0.500 0.500
Pa 0.000 0.500 0.754
Pa 0.500 0.000 0.246

Properties
DOS at the Fermi energy, states/eV/atom: 0.72
ΔH_f (0 K), eV/atom: -0.61

(4)
The following is a DFT calculation (PBE) of a relaxed PdSe8Cl2 crystal.

abc: 9.236 10.403 14.361
angles: 90.00 90.00 90.00
Sites, in units of the cell vectors:
Se 0.868 0.844 0.022
Se 0.132 0.156 0.978
Se 0.925 0.622 0.617
Se 0.910 0.300 0.785
Se 0.368 0.156 0.478
Se 0.196 0.036 0.388
Se 0.804 0.464 0.888
Se 0.804 0.964 0.612
Se 0.075 0.878 0.117
Se 0.632 0.844 0.522
Se 0.075 0.378 0.383
Se 0.425 0.878 0.617
Se 0.696 0.964 0.112
Se 0.590 0.800 0.215
Se 0.304 0.536 0.612
Se 0.590 0.300 0.285
Se 0.410 0.700 0.715
Se 0.304 0.036 0.888
Se 0.196 0.536 0.112
Se 0.575 0.622 0.117
Se 0.410 0.200 0.785
Se 0.132 0.656 0.522
Se 0.910 0.800 0.715
Se 0.575 0.122 0.383
Se 0.696 0.464 0.388
Se 0.090 0.700 0.215
Se 0.632 0.344 0.978
Se 0.868 0.344 0.478
Se 0.368 0.656 0.022
Se 0.425 0.378 0.883
Se 0.090 0.200 0.285
Se 0.925 0.122 0.883
Cl 0.082 0.658 0.897
Cl 0.918 0.342 0.103
Cl 0.082 0.158 0.603
Cl 0.582 0.842 0.897
Cl 0.582 0.342 0.603
Cl 0.418 0.658 0.397
Cl 0.918 0.842 0.397
Cl 0.418 0.158 0.103
Pd 0.500 0.500 0.500
Pd 0.500 0.000 0.000
Pd 0.000 0.000 0.500
Pd 0.000 0.500 0.000

Properties
Uncorrected formation energy, eV per formula unit: -1.9

(5)
The following is a DFT calculation (PBE) of a relaxed AlOs2F crystal.

abc: 7.173 7.173 5.560
angles: 49.83 49.83 90.00
Sites, in units of the cell vectors:
Os 0.186 0.625 0.250
Os 0.875 0.814 0.750
Os 0.564 0.125 0.250
Os 0.375 0.436 0.750
F 0.500 0.500 0.000
F 0.250 0.750 0.500
Al 0.000 0.000 0.000
Al 0.750 0.250 0.500

Properties
DOS at the Fermi energy, states/eV/atom: 0.68
Uncorrected formation energy, eV per formula unit: 2.1
Distance to the lowest polymorph of the same formula, meV/atom: 75

(6)
The following is a DFT calculation (PBE) of a relaxed RhWSe2Br crystal.

abc: 4.905 4.905 4.826
angles: 90.00 90.00 90.00
Sites, in units of the cell vectors:
Se 0.500 0.000 0.000
Se 0.000 0.500 0.000
Br 0.000 0.000 0.500
Rh 0.000 0.000 0.000
W 0.500 0.500 0.500

Properties
DOS at the Fermi energy, states/eV/atom: 0.82
Uncorrected formation energy, eV per formula unit: 5.7
Distance to the lowest polymorph of the same formula, meV/atom: 244

What did the sixth record say?
The following is a DFT calculation (PBE) of a relaxed RhWSe2Br crystal.

abc: 4.905 4.905 4.826
angles: 90.00 90.00 90.00
Sites, in units of the cell vectors:
Se 0.500 0.000 0.000
Se 0.000 0.500 0.000
Br 0.000 0.000 0.500
Rh 0.000 0.000 0.000
W 0.500 0.500 0.500

Properties
DOS at the Fermi energy, states/eV/atom: 0.82
Uncorrected formation energy, eV per formula unit: 5.7
Distance to the lowest polymorph of the same formula, meV/atom: 244

Repeat the sixth record exactly.
The following is a DFT calculation (PBE) of a relaxed RhWSe2Br crystal.

abc: 4.905 4.905 4.826
angles: 90.00 90.00 90.00
Sites, in units of the cell vectors:
Se 0.500 0.000 0.000
Se 0.000 0.500 0.000
Br 0.000 0.000 0.500
Rh 0.000 0.000 0.000
W 0.500 0.500 0.500

Properties
DOS at the Fermi energy, states/eV/atom: 0.82
Uncorrected formation energy, eV per formula unit: 5.7
Distance to the lowest polymorph of the same formula, meV/atom: 244